Below is a geometry-optimized SrSc3F structure, with properties calculated at the PBE level.

POSCAR file:
```
SrSc3F
1.0
4.9167 0.0000 0.0000
0.0000 4.9167 0.0000
0.0000 0.0000 4.9167
Sc F Sr
3 1 1
Direct
0.0000 0.5000 0.0000
0.5000 0.0000 0.0000
0.0000 0.0000 0.5000
0.0000 0.0000 0.0000
0.5000 0.5000 0.5000
```

Computed properties:
- DOS at the Fermi energy (states/eV per atom) = 1.88
- ΔE_f (raw) (eV/atom) = -0.574
- energy above the lowest structure with this stoichiometry (meV/atom) = 0